1.
Here is Sb2P2Pb after structural relaxation from Alexandria. Energies are from PBE-GGA.

The space group is I4/mmm (No. 139) and the conventional cell measures 4.3457, 4.3457 and 13.4137 Å, with angles of 90.00, 90.00 and 90.00 degrees. The asymmetric unit holds Sb at (0.0000, 0.5000, 0.2500), P at (0.0000, 0.0000, 0.0801) and Pb at (0.0000, 0.0000, 0.5000).

The value obtained for the total magnetization is 0.000 μB per atom. As for the energy above the lowest structure with this stoichiometry: 95 meV per atom. The raw total energy is -4.222 eV/atom.

---

2.
Here is Sb2PPb after structural relaxation from Alexandria. Energies are from PBE-GGA.

The space group is Pm (No. 6) and the conventional cell measures 5.3215, 4.2246 and 5.3548 Å, with angles of 90.00, 107.10 and 90.00 degrees. The asymmetric unit holds Sb at (0.0000, 0.0000, 0.0000), Sb at (0.3022, 0.5000, 0.8004), P at (0.7285, 0.5000, 0.1801) and Pb at (0.5441, 0.0000, 0.4578).

The value obtained for the total magnetization is 0.000 μB per atom. As for the energy above the lowest structure with this stoichiometry: 40 meV per atom. The raw total energy is -4.219 eV/atom.

---

3.
Here is SbP2Pb after structural relaxation from Alexandria. Energies are from PBE-GGA.

The space group is Imm2 (No. 44) and the conventional cell measures 3.3476, 5.4388 and 9.9751 Å, with angles of 90.00, 90.00 and 90.00 degrees. The asymmetric unit holds Sb at (0.0000, 0.0000, 0.0000), P at (0.0000, 0.0000, 0.5940), P at (0.0000, 0.5000, 0.2481) and Pb at (0.0000, 0.5000, 0.8001).

The value obtained for the total magnetization is 0.000 μB per atom. As for the energy above the lowest structure with this stoichiometry: 200 meV per atom. The raw total energy is -4.397 eV/atom.

---

4.
Here is SbP2Pb after structural relaxation from Alexandria. Energies are from PBE-GGA.

The space group is I-4m2 (No. 119) and the conventional cell measures 4.0617, 4.0617 and 11.1662 Å, with angles of 90.00, 90.00 and 90.00 degrees. The asymmetric unit holds Sb at (0.0000, 0.0000, 0.0000), P at (0.0000, 0.0000, 0.5000), P at (0.0000, 0.5000, 0.7500) and Pb at (0.0000, 0.5000, 0.2500).

The value obtained for the total magnetization is 0.000 μB per atom. As for the energy above the lowest structure with this stoichiometry: 452 meV per atom. The raw total energy is -4.146 eV/atom.

---

Table of ΔE_f (raw) (eV/atom), in record order: 0.332 0.121 0.265 0.517